i:
PdRhW | PBE | optimized geometry

a = 2.778 Å, b = 2.778 Å, c = 11.790 Å
α = 90.00°, β = 90.00°, γ = 90.00°
Space group I4mm (No. 107)
Inequivalent atoms, fractional coordinates:
Pd 0.000 0.000 0.000 x2
Rh 0.000 0.000 0.322 x2
W 0.000 0.000 0.667 x2

***

ii:
PdRhW | PBE | optimized geometry

a = 2.781 Å, b = 14.458 Å, c = 4.458 Å
α = 90.00°, β = 90.00°, γ = 90.00°
Space group Cmcm (No. 63)
Inequivalent atoms, fractional coordinates:
Pd 0.000 0.223 0.250 x4
Rh 0.000 0.446 0.750 x4
W 0.000 0.108 0.750 x4

***

iii:
PdRhW | PBE | optimized geometry

a = 4.4227 Å, b = 4.4227 Å, c = 2.7052 Å
α = 90.00°, β = 90.00°, γ = 120.00°
Space group P3m1 (No. 156)
Inequivalent atoms, fractional coordinates:
Pd 0.0000 0.0000 0.0000 x1
Rh 0.3333 0.6667 0.4998 x1
W 0.6667 0.3333 0.9978 x1

***

In terms of stability, ii leads; the second structure lies 0.076 eV/atom higher.

***

i:
Y7Pd2Rh2 | PBE | optimized geometry

a = 7.884 Å, b = 10.656 Å, c = 6.974 Å
α = 90.00°, β = 90.00°, γ = 90.00°
Space group Cmmm (No. 65)
Inequivalent atoms, fractional coordinates:
Y 0.000 0.000 0.000 x2
Y 0.000 0.500 0.257 x4
Y 0.250 0.250 0.263 x8
Pd 0.191 0.000 0.500 x4
Rh 0.000 0.287 0.000 x4

***

ii:
Y7Pd2Rh2 | PBE | optimized geometry

a = 3.866 Å, b = 15.177 Å, c = 9.462 Å
α = 90.00°, β = 90.00°, γ = 90.00°
Space group Imm2 (No. 44)
Inequivalent atoms, fractional coordinates:
Y 0.000 0.000 0.000 x2
Y 0.000 0.117 0.605 x4
Y 0.000 0.311 0.397 x4
Y 0.000 0.371 0.759 x4
Pd 0.000 0.000 0.357 x2
Pd 0.000 0.500 0.271 x2
Rh 0.000 0.239 0.103 x4

***

In terms of stability, ii leads; the second structure lies 0.175 eV/atom higher.

***

i:
Y2Pd2Rh | PBE | optimized geometry

a = 7.641 Å, b = 7.641 Å, c = 3.628 Å
α = 90.00°, β = 90.00°, γ = 90.00°
Space group P4/mbm (No. 127)
Inequivalent atoms, fractional coordinates:
Y 0.171 0.329 0.000 x4
Pd 0.130 0.630 0.500 x4
Rh 0.000 0.000 0.000 x2

***

ii:
Y2Pd2Rh | PBE | optimized geometry

a = 7.282 Å, b = 7.282 Å, c = 3.883 Å
α = 90.00°, β = 90.00°, γ = 90.00°
Space group P4/mbm (No. 127)
Inequivalent atoms, fractional coordinates:
Y 0.180 0.320 0.000 x4
Pd 0.129 0.629 0.500 x4
Rh 0.000 0.000 0.500 x2

***

In terms of stability, ii leads; the second structure lies 0.173 eV/atom higher.

***

i:
Y2PdRh2 | PBE | optimized geometry

a = 3.696 Å, b = 3.696 Å, c = 15.699 Å
α = 90.00°, β = 90.00°, γ = 90.00°
Space group I4/mmm (No. 139)
Inequivalent atoms, fractional coordinates:
Y 0.000 0.000 0.110 x4
Pd 0.000 0.000 0.500 x2
Rh 0.000 0.500 0.250 x4

***

ii:
Y2PdRh2 | PBE | optimized geometry

a = 7.199 Å, b = 7.199 Å, c = 3.879 Å
α = 90.00°, β = 90.00°, γ = 90.00°
Space group P4/mbm (No. 127)
Inequivalent atoms, fractional coordinates:
Y 0.176 0.324 0.000 x4
Pd 0.000 0.000 0.500 x2
Rh 0.131 0.631 0.500 x4

***

In terms of stability, ii leads; the second structure lies 0.286 eV/atom higher.

***

i:
YPdRh3 | PBE | optimized geometry

a = 4.848 Å, b = 4.848 Å, c = 4.848 Å
α = 90.00°, β = 90.00°, γ = 90.00°
Space group Pm-3m (No. 221)
Inequivalent atoms, fractional coordinates:
Y 0.000 0.000 0.000 x1
Pd 0.500 0.500 0.500 x1
Rh 0.000 0.000 0.500 x3

***

ii:
YPdRh3 | PBE | optimized geometry

a = 4.757 Å, b = 4.757 Å, c = 4.757 Å
α = 90.00°, β = 90.00°, γ = 90.00°
Space group Pm-3m (No. 221)
Inequivalent atoms, fractional coordinates:
Y 0.000 0.000 0.000 x1
Pd 0.500 0.500 0.500 x1
Rh 0.000 0.500 0.500 x3

***

In terms of stability, ii leads; the second structure lies 0.657 eV/atom higher.

***

i:
Zn4PdRh | PBE | optimized geometry

a = 8.489 Å, b = 3.700 Å, c = 5.737 Å
α = 90.00°, β = 107.76°, γ = 90.00°
Space group C2/m (No. 12)
Inequivalent atoms, fractional coordinates:
Zn 0.163 0.000 0.323 x4
Zn 0.164 0.000 0.834 x4
Pd 0.000 0.500 0.500 x2
Rh 0.000 0.500 0.000 x2

***

ii:
Zn4PdRh | PBE | optimized geometry

a = 6.973 Å, b = 6.973 Å, c = 6.973 Å
α = 90.00°, β = 90.00°, γ = 90.00°
Space group F-43m (No. 216)
Inequivalent atoms, fractional coordinates:
Zn 0.125 0.125 0.125 x16
Pd 0.000 0.000 0.500 x4
Rh 0.250 0.250 0.750 x4

***

In terms of stability, i leads; the second structure lies 0.153 eV/atom higher.

***

i:
ZnPd3Rh | PBE | optimized geometry

a = 4.815 Å, b = 4.815 Å, c = 4.815 Å
α = 90.00°, β = 90.00°, γ = 90.00°
Space group Pm-3m (No. 221)
Inequivalent atoms, fractional coordinates:
Zn 0.000 0.000 0.000 x1
Pd 0.000 0.500 0.500 x3
Rh 0.500 0.500 0.500 x1

***

ii:
ZnPd3Rh | PBE | optimized geometry

a = 4.553 Å, b = 4.553 Å, c = 4.553 Å
α = 90.00°, β = 90.00°, γ = 90.00°
Space group Pm-3m (No. 221)
Inequivalent atoms, fractional coordinates:
Zn 0.000 0.000 0.000 x1
Pd 0.000 0.000 0.500 x3
Rh 0.500 0.500 0.500 x1

***

In terms of stability, ii leads; the second structure lies 0.241 eV/atom higher.

***

i:
ZnPdRh3 | PBE | optimized geometry

a = 4.508 Å, b = 4.508 Å, c = 4.508 Å
α = 90.00°, β = 90.00°, γ = 90.00°
Space group Pm-3m (No. 221)
Inequivalent atoms, fractional coordinates:
Zn 0.000 0.000 0.000 x1
Pd 0.500 0.500 0.500 x1
Rh 0.000 0.000 0.500 x3

***

ii:
ZnPdRh3 | PBE | optimized geometry

a = 4.747 Å, b = 4.747 Å, c = 4.747 Å
α = 90.00°, β = 90.00°, γ = 90.00°
Space group Pm-3m (No. 221)
Inequivalent atoms, fractional coordinates:
Zn 0.000 0.000 0.000 x1
Pd 0.500 0.500 0.500 x1
Rh 0.000 0.500 0.500 x3

***

In terms of stability, i leads; the second structure lies 0.353 eV/atom higher.

***

i:
Zn2PdRh2 | PBE | optimized geometry

a = 6.954 Å, b = 6.954 Å, c = 3.017 Å
α = 90.00°, β = 90.00°, γ = 90.00°
Space group P4/mbm (No. 127)
Inequivalent atoms, fractional coordinates:
Zn 0.134 0.366 0.000 x4
Pd 0.000 0.000 0.000 x2
Rh 0.164 0.664 0.500 x4

***

ii:
Zn2PdRh2 | PBE | optimized geometry

a = 7.137 Å, b = 7.137 Å, c = 2.936 Å
α = 90.00°, β = 90.00°, γ = 90.00°
Space group P4/mbm (No. 127)
Inequivalent atoms, fractional coordinates:
Zn 0.169 0.331 0.000 x4
Pd 0.000 0.000 0.500 x2
Rh 0.130 0.630 0.500 x4

***

In terms of stability, i leads; the second structure lies 0.041 eV/atom higher.

***

i:
Zn2Pd2Rh | PBE | optimized geometry

a = 7.316 Å, b = 7.316 Å, c = 2.821 Å
α = 90.00°, β = 90.00°, γ = 90.00°
Space group P4/mbm (No. 127)
Inequivalent atoms, fractional coordinates:
Zn 0.166 0.334 0.000 x4
Pd 0.133 0.633 0.500 x4
Rh 0.000 0.000 0.500 x2

***

ii:
Zn2Pd2Rh | PBE | optimized geometry

a = 2.938 Å, b = 17.306 Å, c = 2.932 Å
α = 90.00°, β = 90.00°, γ = 90.00°
Space group Cmmm (No. 65)
Inequivalent atoms, fractional coordinates:
Zn 0.000 0.092 0.000 x4
Pd 0.000 0.317 0.500 x4
Rh 0.000 0.500 0.500 x2

***

In terms of stability, ii leads; the second structure lies 0.129 eV/atom higher.

***

i:
Zr2PdRh4 | PBE | optimized geometry

a = 4.910 Å, b = 4.910 Å, c = 10.833 Å
α = 90.00°, β = 90.00°, γ = 90.00°
Space group I4/mmm (No. 139)
Inequivalent atoms, fractional coordinates:
Zr 0.000 0.000 0.151 x4
Pd 0.000 0.000 0.500 x2
Rh 0.000 0.500 0.000 x4
Rh 0.000 0.500 0.250 x4

***

ii:
Zr2PdRh4 | PBE | optimized geometry

a = 3.636 Å, b = 3.636 Å, c = 18.477 Å
α = 90.00°, β = 90.00°, γ = 90.00°
Space group I4/mmm (No. 139)
Inequivalent atoms, fractional coordinates:
Zr 0.000 0.000 0.095 x4
Pd 0.000 0.000 0.500 x2
Rh 0.000 0.000 0.356 x4
Rh 0.000 0.500 0.250 x4

***

In terms of stability, ii leads; the second structure lies 0.389 eV/atom higher.

***

i:
Zr2Pd3Rh | PBE | optimized geometry

a = 12.529 Å, b = 3.970 Å, c = 9.378 Å
α = 90.00°, β = 116.83°, γ = 90.00°
Space group C2/m (No. 12)
Inequivalent atoms, fractional coordinates:
Zr 0.015 0.000 0.346 x4
Zr 0.220 0.500 0.354 x4
Pd 0.040 0.500 0.876 x4
Pd 0.124 0.000 0.126 x4
Pd 0.212 0.000 0.884 x4
Rh 0.127 0.500 0.626 x4

***

ii:
Zr2Pd3Rh | PBE | optimized geometry

a = 8.113 Å, b = 8.113 Å, c = 13.984 Å
α = 90.00°, β = 90.00°, γ = 90.00°
Space group I4_1/amd (No. 141, origin choice 2)
Inequivalent atoms, fractional coordinates:
Zr 0.000 0.025 0.281 x16
Pd 0.000 0.000 0.500 x8
Pd 0.201 0.049 0.875 x16
Rh 0.000 0.250 0.120 x8

***

In terms of stability, i leads; the second structure lies 0.146 eV/atom higher.